Ca2PrMg: relaxed, PBE.

The space group is R3m. As for the crystal system: trigonal. The value obtained for the formation enthalpy at 0 K is 0.060 eV/atom. The calculation puts the total DFT energy (no corrections) at -2.53 eV per atom. For the energy relative to the lowest polymorph listed for this composition, the calculation gives 80 meV/atom.

a = 3.744 Å, b = 3.744 Å, c = 11.895 Å
α = 80.95°, β = 80.95°, γ = 60.00°
Atoms (fractional coordinates):
Ca 0.078 0.078 0.767
Ca 0.256 0.256 0.233
Pr 0.500 0.500 0.499
Mg 0.666 0.666 0.001